Entry one
Crystalline TiMn2VH at its relaxed geometry, computed with PBE.

a = 4.0114 Å, b = 4.0114 Å, c = 3.3994 Å
α = 90.00°, β = 90.00°, γ = 90.00°
Sites, in units of the cell vectors:
Mn (0.0000, 0.5000, 0.0000)
Ti (0.0000, 0.0000, 0.5000)
Mn (0.5000, 0.0000, 0.0000)
V (0.5000, 0.5000, 0.5000)
H (0.0000, 0.0000, 0.0000)

space-group type: No. 123
crystal system: tetragonal
spin magnetization: 1.2 μB/f.u.



Entry two
Crystalline TiMn2VH at its relaxed geometry, computed with PBE.

a = 4.3375 Å, b = 4.7226 Å, c = 4.3375 Å
α = 90.00°, β = 90.00°, γ = 90.00°
Sites, in units of the cell vectors:
V (0.0000, 0.0000, 0.0000)
H (0.5000, 0.5000, 0.5000)
Mn (0.0000, 0.0000, 0.5000)
Ti (0.0000, 0.5000, 0.0000)
Mn (0.5000, 0.0000, 0.0000)

space-group type: No. 123
crystal system: tetragonal
spin magnetization: 4.1 μB/f.u.



Least stable = entry two



Entry one
Crystalline MnTl3H at its relaxed geometry, computed with PBE.

a = 4.8078 Å, b = 4.8078 Å, c = 4.8078 Å
α = 90.00°, β = 90.00°, γ = 90.00°
Sites, in units of the cell vectors:
Tl (0.5000, 0.0000, 0.0000)
Tl (0.0000, 0.0000, 0.5000)
Tl (0.0000, 0.5000, 0.0000)
Mn (0.5000, 0.5000, 0.5000)
H (0.0000, 0.0000, 0.0000)

space-group type: No. 221
crystal system: cubic
spin magnetization: 4.0 μB/f.u.



Entry two
Crystalline MnTl3H at its relaxed geometry, computed with PBE.

a = 5.2206 Å, b = 5.2206 Å, c = 5.2206 Å
α = 90.00°, β = 90.00°, γ = 90.00°
Sites, in units of the cell vectors:
H (0.5000, 0.5000, 0.5000)
Tl (0.5000, 0.0000, 0.0000)
Tl (0.0000, 0.5000, 0.0000)
Tl (0.0000, 0.0000, 0.5000)
Mn (0.0000, 0.0000, 0.0000)

space-group type: No. 221
crystal system: cubic
spin magnetization: 2.8 μB/f.u.



Least stable = entry two



Entry one
Crystalline Mn2TlH2 at its relaxed geometry, computed with PBE.

a = 6.7020 Å, b = 6.7020 Å, c = 2.7567 Å
α = 90.00°, β = 90.00°, γ = 90.00°
Sites, in units of the cell vectors:
Mn (0.3960, 0.8960, 0.0000)
Mn (0.6040, 0.1040, 0.0000)
Mn (0.1040, 0.3960, 0.0000)
H (0.9041, 0.4041, 0.5000)
H (0.4041, 0.0959, 0.5000)
H (0.5959, 0.9041, 0.5000)
Tl (0.5000, 0.5000, 0.0000)
H (0.0959, 0.5959, 0.5000)
Mn (0.8960, 0.6040, 0.0000)
Tl (0.0000, 0.0000, 0.0000)

space-group type: No. 127
crystal system: tetragonal
spin magnetization: 2.0 μB/f.u.



Entry two
Crystalline Mn2TlH2 at its relaxed geometry, computed with PBE.

a = 2.9748 Å, b = 2.9748 Å, c = 6.0823 Å
α = 75.85°, β = 75.85°, γ = 90.00°
Sites, in units of the cell vectors:
Mn (0.3209, 0.3209, 0.3582)
H (0.2500, 0.7500, 0.5000)
H (0.7500, 0.2500, 0.5000)
Mn (0.6791, 0.6791, 0.6418)
Tl (0.0000, 0.0000, 0.0000)

space-group type: No. 139
crystal system: tetragonal
spin magnetization: 0.0 μB/f.u.



Least stable = entry one



Entry one
Crystalline MnTl2H at its relaxed geometry, computed with PBE.

a = 6.9458 Å, b = 6.9458 Å, c = 5.8928 Å
α = 53.89°, β = 53.89°, γ = 90.00°
Sites, in units of the cell vectors:
H (0.2500, 0.7500, 0.5000)
Mn (0.7500, 0.2500, 0.5000)
Mn (0.0000, 0.0000, 0.0000)
Tl (0.8750, 0.8085, 0.7500)
Tl (0.3750, 0.4415, 0.7500)
Tl (0.1915, 0.6250, 0.2500)
H (0.5000, 0.5000, 0.0000)
Tl (0.5585, 0.1250, 0.2500)

space-group type: No. 122
crystal system: tetragonal
spin magnetization: 4.0 μB/f.u.



Entry two
Crystalline MnTl2H at its relaxed geometry, computed with PBE.

a = 4.8180 Å, b = 4.8180 Å, c = 4.8180 Å
α = 60.00°, β = 60.00°, γ = 60.00°
Sites, in units of the cell vectors:
Tl (0.2500, 0.2500, 0.2500)
Mn (0.5000, 0.5000, 0.5000)
H (0.0000, 0.0000, 0.0000)
Tl (0.7500, 0.7500, 0.7500)

space-group type: No. 225
crystal system: cubic
spin magnetization: 4.1 μB/f.u.



Least stable = entry two



Entry one
Crystalline UMnH at its relaxed geometry, computed with PBE.

a = 2.7707 Å, b = 2.7707 Å, c = 4.8340 Å
α = 106.65°, β = 106.65°, γ = 90.00°
Sites, in units of the cell vectors:
Mn (0.8644, 0.8644, 0.7288)
U (0.6191, 0.6191, 0.2382)
H (0.3665, 0.3665, 0.7331)

space-group type: No. 107
crystal system: tetragonal
spin magnetization: 0.0 μB/f.u.



Entry two
Crystalline UMnH at its relaxed geometry, computed with PBE.

a = 3.3385 Å, b = 3.3385 Å, c = 7.1987 Å
α = 111.85°, β = 97.82°, γ = 84.52°
Sites, in units of the cell vectors:
H (0.3136, 0.5509, 0.8645)
Mn (0.0000, 0.0000, 0.5000)
Mn (0.5000, 0.5000, 0.5000)
H (0.6864, 0.4491, 0.1355)
U (0.8161, 0.0160, 0.8321)
U (0.1839, 0.9840, 0.1679)

space-group type: No. 12
crystal system: monoclinic
spin magnetization: 0.0 μB/f.u.



Entry three
Crystalline UMnH at its relaxed geometry, computed with PBE.

a = 3.0913 Å, b = 3.0913 Å, c = 4.3720 Å
α = 90.00°, β = 90.00°, γ = 120.00°
Sites, in units of the cell vectors:
H (0.3333, 0.6667, 0.7506)
U (0.6667, 0.3333, 0.3689)
Mn (0.0000, 0.0000, 0.8805)

space-group type: No. 156
crystal system: trigonal
spin magnetization: 0.2 μB/f.u.



Least stable = entry three



Entry one
Crystalline MnVH4 at its relaxed geometry, computed with PBE.

a = 4.9554 Å, b = 5.1083 Å, c = 4.3760 Å
α = 106.58°, β = 104.99°, γ = 121.79°
Sites, in units of the cell vectors:
H (0.9246, 0.2625, 0.8038)
H (0.6208, 0.4587, 0.1962)
Mn (0.7042, 0.9542, 0.9085)
H (0.6642, 0.0897, 0.3006)
V (0.3664, 0.6164, 0.2328)
H (0.1364, 0.2109, 0.3006)
H (0.0754, 0.7375, 0.1962)
H (0.3358, 0.9103, 0.6994)
H (0.8636, 0.7891, 0.6994)
V (0.6336, 0.3836, 0.7672)
H (0.3792, 0.5413, 0.8038)
Mn (0.2958, 0.0458, 0.0915)

space-group type: No. 15
crystal system: monoclinic
spin magnetization: 0.0 μB/f.u.



Entry two
Crystalline MnVH4 at its relaxed geometry, computed with PBE.

a = 2.8882 Å, b = 2.8882 Å, c = 4.1433 Å
α = 90.00°, β = 90.00°, γ = 90.00°
Sites, in units of the cell vectors:
V (0.5013, 0.4973, 0.9981)
H (0.5013, 0.9973, 0.2672)
H (0.0013, 0.4973, 0.7291)
Mn (0.0013, 0.9973, 0.4981)
H (0.5013, 0.9973, 0.7291)
H (0.0013, 0.4973, 0.2672)

space-group type: No. 123
crystal system: tetragonal
spin magnetization: 0.6 μB/f.u.



Least stable = entry one